# 1
A crystal of AcAg2Sn relaxed with PBEsol. Source: Alexandria via LeMat-Bulk, functional SCAN.

```
AcAg2Sn
1.0
5.142 0.000 0.000
2.571 4.453 0.000
2.571 1.484 4.198
Ag Ac Sn
2 1 1
Direct
0.250 0.250 0.250 Ag
0.750 0.750 0.750 Ag
0.500 0.500 0.500 Ac
0.000 0.000 0.000 Sn
```

Computed properties:
- Crystal system: cubic
- SG: Fm-3m
- Total moment: 0.0 Bohr magnetons per cell

=====

# 2
A crystal of Li2AcAl relaxed with PBEsol. Source: Alexandria via LeMat-Bulk, functional SCAN.

```
Li2AcAl
1.0
-4.705 -1.774 -0.338
-1.268 -3.075 -3.786
-0.929 -4.868 0.912
Ac Li Al
1 2 1
Direct
0.500 0.500 0.500 Ac
0.750 0.750 0.750 Li
0.250 0.250 0.250 Li
0.000 0.000 0.000 Al
```

Computed properties:
- Crystal system: cubic
- SG: Fm-3m
- Total moment: 0.0 Bohr magnetons per cell

=====

Energy of formation from the pure elements? In order: -0.38, -0.12 eV/atom.